# 1
PRuPbS2: relaxed, GGA-PBE.

## Properties
**Excess energy over the best structure of this formula in the dataset**: 0.000 eV per atom
**Crystal system**: tetragonal

Unit cell a=4.929 b=4.929 c=4.369 alpha=90.00 beta=90.00 gamma=90.00
Positions (direct):
P  0.000  0.000  0.000
Ru  0.000  0.000  0.500
Pb  0.500  0.500  0.000
S  0.000  0.500  0.500
S  0.500  0.000  0.500

# 2
PRuPbS2: relaxed, GGA-PBE.

## Properties
**Excess energy over the best structure of this formula in the dataset**: 1.440 eV per atom
**Crystal system**: tetragonal

Unit cell a=5.044 b=5.044 c=5.062 alpha=90.00 beta=90.00 gamma=90.00
Positions (direct):
P  0.000  0.000  0.000
Ru  0.500  0.500  0.000
Pb  0.000  0.000  0.500
S  0.000  0.500  0.500
S  0.500  0.000  0.500

# 3
SiP2RuPb: relaxed, GGA-PBE.

## Properties
**Crystal system**: tetragonal

Unit cell a=5.137 b=5.137 c=5.100 alpha=90.00 beta=90.00 gamma=90.00
Positions (direct):
Si  0.000  0.000  0.000
P  0.000  0.500  0.500
P  0.500  0.000  0.500
Ru  0.500  0.500  0.000
Pb  0.000  0.000  0.500

# 4
PPbS2: relaxed, GGA-PBE.

## Properties
**Excess energy over the best structure of this formula in the dataset**: 0.142 eV per atom
**Crystal system**: tetragonal

Unit cell a=5.609 b=5.609 c=13.761 alpha=90.00 beta=90.00 gamma=90.00
Positions (direct):
P  0.000  0.000  0.000
P  0.000  0.500  0.250
P  0.500  0.000  0.750
P  0.500  0.500  0.500
Pb  0.000  0.000  0.500
Pb  0.000  0.500  0.750
Pb  0.500  0.000  0.250
Pb  0.500  0.500  0.000
S  0.166  0.250  0.125
S  0.250  0.666  0.375
S  0.250  0.834  0.875
S  0.334  0.250  0.625
S  0.666  0.750  0.625
S  0.750  0.166  0.875
S  0.750  0.334  0.375
S  0.834  0.750  0.125

# 5
PPbS2: relaxed, GGA-PBE.

## Properties
**Excess energy over the best structure of this formula in the dataset**: 0.455 eV per atom
**Crystal system**: cubic

Unit cell a=6.839 b=6.839 c=6.839 alpha=90.00 beta=90.00 gamma=90.00
Positions (direct):
P  0.000  0.000  0.000
P  0.000  0.500  0.500
P  0.500  0.000  0.500
P  0.500  0.500  0.000
Pb  0.000  0.000  0.500
Pb  0.000  0.500  0.000
Pb  0.500  0.000  0.000
Pb  0.500  0.500  0.500
S  0.250  0.250  0.250
S  0.250  0.250  0.750
S  0.250  0.750  0.250
S  0.250  0.750  0.750
S  0.750  0.250  0.250
S  0.750  0.250  0.750
S  0.750  0.750  0.250
S  0.750  0.750  0.750

# 6
P2PbS: relaxed, GGA-PBE.

## Properties
**Excess energy over the best structure of this formula in the dataset**: 0.319 eV per atom
**Crystal system**: cubic

Unit cell a=6.767 b=6.767 c=6.767 alpha=90.00 beta=90.00 gamma=90.00
Positions (direct):
P  0.250  0.250  0.250
P  0.250  0.250  0.750
P  0.250  0.750  0.250
P  0.250  0.750  0.750
P  0.750  0.250  0.250
P  0.750  0.250  0.750
P  0.750  0.750  0.250
P  0.750  0.750  0.750
Pb  0.000  0.000  0.000
Pb  0.000  0.500  0.500
Pb  0.500  0.000  0.500
Pb  0.500  0.500  0.000
S  0.000  0.000  0.500
S  0.000  0.500  0.000
S  0.500  0.000  0.000
S  0.500  0.500  0.500

# 7
P2PbS: relaxed, GGA-PBE.

## Properties
**Excess energy over the best structure of this formula in the dataset**: 0.000 eV per atom
**Crystal system**: tetragonal

Unit cell a=5.344 b=5.344 c=13.986 alpha=90.00 beta=90.00 gamma=90.00
Positions (direct):
P  0.168  0.250  0.125
P  0.250  0.668  0.375
P  0.250  0.832  0.875
P  0.332  0.250  0.625
P  0.668  0.750  0.625
P  0.750  0.168  0.875
P  0.750  0.332  0.375
P  0.832  0.750  0.125
Pb  0.000  0.000  0.500
Pb  0.000  0.500  0.750
Pb  0.500  0.000  0.250
Pb  0.500  0.500  0.000
S  0.000  0.000  0.000
S  0.000  0.500  0.250
S  0.500  0.000  0.750
S  0.500  0.500  0.500

# 8
P2Pb3S8: relaxed, GGA-PBE.

## Properties
**Crystal system**: cubic

Unit cell a=11.183 b=11.183 c=11.183 alpha=90.00 beta=90.00 gamma=90.00
Positions (direct):
P  0.074  0.074  0.074
P  0.153  0.653  0.847
P  0.347  0.347  0.347
P  0.426  0.926  0.574
P  0.574  0.426  0.926
P  0.653  0.847  0.153
P  0.847  0.153  0.653
P  0.926  0.574  0.426
Pb  0.031  0.265  0.359
Pb  0.141  0.969  0.765
Pb  0.235  0.641  0.531
Pb  0.265  0.359  0.031
Pb  0.359  0.031  0.265
Pb  0.469  0.735  0.859
Pb  0.531  0.235  0.641
Pb  0.641  0.531  0.235
Pb  0.735  0.859  0.469
Pb  0.765  0.141  0.969
Pb  0.859  0.469  0.735
Pb  0.969  0.765  0.141
S  0.005  0.738  0.408
S  0.034  0.466  0.534
S  0.048  0.548  0.952
S  0.056  0.729  0.709
S  0.092  0.995  0.238
S  0.209  0.444  0.271
S  0.229  0.791  0.944
S  0.238  0.092  0.995
S  0.262  0.908  0.495
S  0.271  0.209  0.444
S  0.291  0.556  0.771
S  0.408  0.005  0.738
S  0.444  0.271  0.209
S  0.452  0.452  0.452
S  0.466  0.534  0.034
S  0.495  0.262  0.908
S  0.505  0.762  0.592
S  0.534  0.034  0.466
S  0.548  0.952  0.048
S  0.556  0.771  0.291
S  0.592  0.505  0.762
S  0.709  0.056  0.729
S  0.729  0.709  0.056
S  0.738  0.408  0.005
S  0.762  0.592  0.505
S  0.771  0.291  0.556
S  0.791  0.944  0.229
S  0.908  0.495  0.262
S  0.944  0.229  0.791
S  0.952  0.048  0.548
S  0.966  0.966  0.966
S  0.995  0.238  0.092

# 9
PPbS2: relaxed, GGA-PBE.

## Properties
**Excess energy over the best structure of this formula in the dataset**: 0.000 eV per atom
**Crystal system**: trigonal

Unit cell a=3.486 b=3.486 c=25.611 alpha=90.00 beta=90.00 gamma=120.00
Positions (direct):
P  0.000  0.000  0.000
P  0.333  0.667  0.667
P  0.667  0.333  0.333
Pb  0.000  0.000  0.500
Pb  0.333  0.667  0.167
Pb  0.667  0.333  0.833
S  0.000  0.000  0.386
S  0.000  0.000  0.614
S  0.333  0.667  0.053
S  0.333  0.667  0.280
S  0.667  0.333  0.720
S  0.667  0.333  0.947

# 10
P2PbS6: relaxed, GGA-PBE.

## Properties
**Crystal system**: monoclinic

Unit cell a=8.888 b=8.888 c=5.975 alpha=99.87 beta=99.87 gamma=90.94
Positions (direct):
P  0.134  0.286  0.228
P  0.286  0.134  0.728
P  0.714  0.866  0.272
P  0.866  0.714  0.772
Pb  0.357  0.643  0.750
Pb  0.643  0.357  0.250
S  0.070  0.662  0.928
S  0.083  0.209  0.527
S  0.209  0.083  0.027
S  0.300  0.453  0.281
S  0.338  0.930  0.572
S  0.453  0.300  0.781
S  0.547  0.700  0.219
S  0.662  0.070  0.428
S  0.700  0.547  0.719
S  0.791  0.917  0.973
S  0.917  0.791  0.473
S  0.930  0.338  0.072

# 11
P2PbS6: relaxed, GGA-PBE.

## Properties
**Crystal system**: trigonal

Unit cell a=7.044 b=7.044 c=7.915 alpha=90.00 beta=90.00 gamma=120.00
Positions (direct):
P  0.333  0.667  0.243
P  0.667  0.333  0.757
Pb  0.000  0.000  0.000
S  0.173  0.346  0.264
S  0.173  0.827  0.264
S  0.346  0.173  0.736
S  0.654  0.827  0.264
S  0.827  0.173  0.736
S  0.827  0.654  0.736

# 12
PPb3S: relaxed, GGA-PBE.

## Properties
**Excess energy over the best structure of this formula in the dataset**: 0.000 eV per atom
**Crystal system**: cubic

Unit cell a=5.468 b=5.468 c=5.468 alpha=90.00 beta=90.00 gamma=90.00
Positions (direct):
P  0.000  0.000  0.000
Pb  0.000  0.500  0.500
Pb  0.500  0.000  0.500
Pb  0.500  0.500  0.000
S  0.500  0.500  0.500

Number 1: total magnetization 0.0000 μB per atom, formation energy from raw total energies 0.18 eV/atom, E_tot -5.148 eV per atom. Number 2: total magnetization 0.7309 μB per atom, formation energy from raw total energies 1.62 eV/atom, E_tot -3.708 eV per atom. Number 3: total magnetization 0.4417 μB per atom, formation energy from raw total energies 2.11 eV/atom, E_tot -3.732 eV per atom. Number 4: total magnetization 0.0000 μB per atom, formation energy from raw total energies 0.13 eV/atom, E_tot -4.210 eV per atom. Number 5: total magnetization 0.0000 μB per atom, formation energy from raw total energies 0.45 eV/atom, E_tot -3.897 eV per atom. Number 6: total magnetization 0.0000 μB per atom, formation energy from raw total energies 0.77 eV/atom, E_tot -3.891 eV per atom. Number 7: total magnetization 0.0000 μB per atom, formation energy from raw total energies 0.45 eV/atom, E_tot -4.210 eV per atom. Number 8: total magnetization 0.0000 μB per atom, formation energy from raw total energies -0.43 eV/atom, E_tot -4.661 eV per atom. Number 9: total magnetization 0.0000 μB per atom, formation energy from raw total energies -0.01 eV/atom, E_tot -4.352 eV per atom. Number 10: total magnetization 0.0000 μB per atom, formation energy from raw total energies -0.21 eV/atom, E_tot -4.579 eV per atom. Number 11: total magnetization 0.0000 μB per atom, formation energy from raw total energies -0.07 eV/atom, E_tot -4.436 eV per atom. Number 12: total magnetization 0.0000 μB per atom, formation energy from raw total energies 0.42 eV/atom, E_tot -3.712 eV per atom.